Compound: LiIn2Pd
Source: the Open Quantum Materials Database
Functional: PBE
Structure: relaxed

Computed properties:
- E_tot: -14.21 eV/cell
- Space group: P4/mmm
- Relative energy among the computed polymorphs: 44.5 meV per atom

abc: 3.417 3.417 6.271
angles: 90.00 90.00 90.00
Atoms (fractional coordinates):
Li: 0.000 0.000 0.000
In: 0.500 0.500 0.254
In: 0.500 0.500 0.746
Pd: 0.000 0.000 0.500